Compound: PaCdPd
Source: Alexandria via LeMat-Bulk
Functional: PBE
Structure: optimized geometry

Values from the calculation:
E above lowest polymorph (meV/atom): 183.9
ΔE_f (eV per atom): -0.106
Final energy (eV per cell): -63.7

Unit cell a=6.662 b=6.662 c=6.662 alpha=90.00 beta=90.00 gamma=90.00
Space group F-43m (No. 216)
Inequivalent atoms, fractional coordinates:
Pa (0.000, 0.000, 0.000)
Cd (0.000, 0.000, 0.500)
Pd (0.250, 0.250, 0.250)